[1]
Material: Pr4InBi
Method: DFT, PBE
State: relaxed

The structure in CIF format:
```
data_Pr4InBi
_cell_length_a 6.391
_cell_length_b 8.937
_cell_length_c 8.621
_cell_angle_alpha 113.35
_cell_angle_beta 101.54
_cell_angle_gamma 109.22
_symmetry_space_group_name_H-M 'P 1'
_symmetry_Int_Tables_number 1
_symmetry_space_group_name_Hall 'P 1'
loop_
_atom_site_label
_atom_site_type_symbol
_atom_site_fract_x
_atom_site_fract_y
_atom_site_fract_z
Pr1 Pr 0.068 0.219 0.825
Pr2 Pr 0.768 0.706 0.621
Pr3 Pr 0.258 0.607 0.825
Pr4 Pr 0.353 0.914 0.621
Pr5 Pr 0.647 0.086 0.379
Pr6 Pr 0.742 0.393 0.175
Pr7 Pr 0.232 0.294 0.379
Pr8 Pr 0.932 0.781 0.175
In1 In 0.252 0.002 0.004
In2 In 0.748 0.998 0.996
Bi1 Bi 0.366 0.616 0.232
Bi2 Bi 0.634 0.384 0.768
```

Calculated values
magnetic moment	0.000	Bohr magnetons per cell
SG	C2/c
DOS(E_F)	1.113	states/eV/atom
energy of formation from the pure elements	-0.4377	eV per atom

---

[2]
Material: Cu3Au2
Method: DFT, PBE
State: relaxed

The structure in CIF format:
```
data_Cu3Au2
_cell_length_a 2.798
_cell_length_b 6.828
_cell_length_c 7.909
_cell_angle_alpha 101.91
_cell_angle_beta 90.00
_cell_angle_gamma 90.00
_symmetry_space_group_name_H-M 'P 1'
_symmetry_Int_Tables_number 1
_symmetry_space_group_name_Hall 'P 1'
loop_
_atom_site_label
_atom_site_type_symbol
_atom_site_fract_x
_atom_site_fract_y
_atom_site_fract_z
Cu1 Cu 0.250 0.358 0.402
Cu2 Cu 0.750 0.642 0.598
Cu3 Cu 0.250 0.950 0.612
Cu4 Cu 0.750 0.050 0.388
Cu5 Cu 0.250 0.021 0.131
Cu6 Cu 0.750 0.979 0.869
Au1 Au 0.250 0.652 0.910
Au2 Au 0.750 0.348 0.090
Au3 Au 0.250 0.705 0.297
Au4 Au 0.750 0.295 0.703
```

Calculated values
magnetic moment	0.000	Bohr magnetons per cell
SG	P2_1/m
DOS(E_F)	0.238	states/eV/atom
energy of formation from the pure elements	0.0383	eV per atom

---

[3]
Material: LiGa5Ni
Method: DFT, PBE
State: relaxed

The structure in CIF format:
```
data_LiGa5Ni
_cell_length_a 4.131
_cell_length_b 4.131
_cell_length_c 6.622
_cell_angle_alpha 90.00
_cell_angle_beta 90.00
_cell_angle_gamma 90.00
_symmetry_space_group_name_H-M 'P 1'
_symmetry_Int_Tables_number 1
_symmetry_space_group_name_Hall 'P 1'
loop_
_atom_site_label
_atom_site_type_symbol
_atom_site_fract_x
_atom_site_fract_y
_atom_site_fract_z
Li1 Li 0.000 0.000 0.000
Ga1 Ga 0.500 0.000 0.708
Ga2 Ga 0.000 0.500 0.708
Ga3 Ga 0.500 0.500 0.000
Ga4 Ga 0.000 0.500 0.292
Ga5 Ga 0.500 0.000 0.292
Ni1 Ni 0.000 0.000 0.500
```

Calculated values
magnetic moment	0.000	Bohr magnetons per cell
SG	P4/mmm
DOS(E_F)	0.299	states/eV/atom
energy of formation from the pure elements	-0.2592	eV per atom

---

[4]
Material: LaSm6Pd3
Method: DFT, PBE
State: relaxed

The structure in CIF format:
```
data_LaSm6Pd3
_cell_length_a 7.333
_cell_length_b 8.936
_cell_length_c 8.936
_cell_angle_alpha 97.18
_cell_angle_beta 90.00
_cell_angle_gamma 90.00
_symmetry_space_group_name_H-M 'P 1'
_symmetry_Int_Tables_number 1
_symmetry_space_group_name_Hall 'P 1'
loop_
_atom_site_label
_atom_site_type_symbol
_atom_site_fract_x
_atom_site_fract_y
_atom_site_fract_z
La1 La 0.037 0.321 0.679
La2 La 0.537 0.679 0.321
Sm1 Sm 0.167 0.716 0.631
Sm2 Sm 0.667 0.631 0.716
Sm3 Sm 0.323 0.582 0.968
Sm4 Sm 0.823 0.968 0.582
Sm5 Sm 0.163 0.033 0.967
Sm6 Sm 0.519 0.234 0.766
Sm7 Sm 0.019 0.766 0.234
Sm8 Sm 0.663 0.967 0.033
Sm9 Sm 0.323 0.032 0.418
Sm10 Sm 0.823 0.418 0.032
Sm11 Sm 0.167 0.369 0.284
Sm12 Sm 0.667 0.284 0.369
Pd1 Pd 0.456 0.915 0.719
Pd2 Pd 0.956 0.719 0.915
Pd3 Pd 0.374 0.432 0.568
Pd4 Pd 0.874 0.568 0.432
Pd5 Pd 0.956 0.085 0.281
Pd6 Pd 0.456 0.281 0.085
```

Calculated values
magnetic moment	0.000	Bohr magnetons per cell
SG	Cmc2_1
DOS(E_F)	1.123	states/eV/atom
energy of formation from the pure elements	-0.4537	eV per atom

---

[5]
Material: TaAsHSe2
Method: DFT, PBE
State: relaxed

The structure in CIF format:
```
data_TaAsHSe2
_cell_length_a 4.773
_cell_length_b 4.773
_cell_length_c 3.389
_cell_angle_alpha 90.00
_cell_angle_beta 90.00
_cell_angle_gamma 90.00
_symmetry_space_group_name_H-M 'P 1'
_symmetry_Int_Tables_number 1
_symmetry_space_group_name_Hall 'P 1'
loop_
_atom_site_label
_atom_site_type_symbol
_atom_site_fract_x
_atom_site_fract_y
_atom_site_fract_z
H1 H 0.000 0.000 0.000
As1 As 0.000 0.000 0.500
Se1 Se 0.000 0.500 0.000
Se2 Se 0.500 0.000 0.000
Ta1 Ta 0.500 0.500 0.500
```

Calculated values
magnetic moment	0.000	Bohr magnetons per cell
SG	P4/mmm
DOS(E_F)	0.401	states/eV/atom
total energy	-4.8765	eV/atom

---

[6]
Material: La2SbCl
Method: DFT, PBE
State: relaxed

The structure in CIF format:
```
data_La2SbCl
_cell_length_a 11.594
_cell_length_b 11.594
_cell_length_c 11.594
_cell_angle_alpha 19.14
_cell_angle_beta 19.14
_cell_angle_gamma 19.14
_symmetry_space_group_name_H-M 'P 1'
_symmetry_Int_Tables_number 1
_symmetry_space_group_name_Hall 'P 1'
loop_
_atom_site_label
_atom_site_type_symbol
_atom_site_fract_x
_atom_site_fract_y
_atom_site_fract_z
Cl1 Cl 0.728 0.728 0.728
La1 La 0.007 0.007 0.007
La2 La 0.252 0.252 0.252
Sb1 Sb 0.513 0.513 0.513
```

Calculated values
magnetic moment	0.557	Bohr magnetons per cell
SG	R3m
DOS(E_F)	0.841	states/eV/atom
formation energy from raw total energies	-0.7276	eV per atom

---

[7]
Material: TiPH3
Method: DFT, PBE
State: relaxed

The structure in CIF format:
```
data_TiPH3
_cell_length_a 3.406
_cell_length_b 3.406
_cell_length_c 3.406
_cell_angle_alpha 90.00
_cell_angle_beta 90.00
_cell_angle_gamma 90.00
_symmetry_space_group_name_H-M 'P 1'
_symmetry_Int_Tables_number 1
_symmetry_space_group_name_Hall 'P 1'
loop_
_atom_site_label
_atom_site_type_symbol
_atom_site_fract_x
_atom_site_fract_y
_atom_site_fract_z
P1 P 0.000 0.000 0.000
H1 H 0.000 0.500 0.000
H2 H 0.000 0.000 0.500
H3 H 0.500 0.000 0.000
Ti1 Ti 0.500 0.500 0.500
```

Calculated values
magnetic moment	0.801	Bohr magnetons per cell
SG	Pm-3m
DOS(E_F)	0.432	states/eV/atom
total energy	-4.1627	eV/atom

---

[8]
Material: K2CoSb
Method: DFT, PBE
State: relaxed

The structure in CIF format:
```
data_K2CoSb
_cell_length_a 6.292
_cell_length_b 6.292
_cell_length_c 6.292
_cell_angle_alpha 136.18
_cell_angle_beta 122.91
_cell_angle_gamma 74.64
_symmetry_space_group_name_H-M 'P 1'
_symmetry_Int_Tables_number 1
_symmetry_space_group_name_Hall 'P 1'
loop_
_atom_site_label
_atom_site_type_symbol
_atom_site_fract_x
_atom_site_fract_y
_atom_site_fract_z
Co1 Co 0.348 0.848 0.500
K1 K 0.025 0.025 0.000
K2 K 0.711 0.211 0.500
Sb1 Sb 0.416 0.416 0.000
```

Calculated values
magnetic moment	1.995	Bohr magnetons per cell
SG	Imm2
DOS(E_F)	1.091	states/eV/atom
formation energy from raw total energies	0.0944	eV per atom

---

[9]
Material: Y6BiTe3Pb2
Method: DFT, PBE
State: relaxed

The structure in CIF format:
```
data_Y6BiTe3Pb2
_cell_length_a 4.435
_cell_length_b 8.851
_cell_length_c 9.887
_cell_angle_alpha 102.67
_cell_angle_beta 102.96
_cell_angle_gamma 90.00
_symmetry_space_group_name_H-M 'P 1'
_symmetry_Int_Tables_number 1
_symmetry_space_group_name_Hall 'P 1'
loop_
_atom_site_label
_atom_site_type_symbol
_atom_site_fract_x
_atom_site_fract_y
_atom_site_fract_z
Y1 Y 0.333 0.909 0.667
Y2 Y 0.669 0.577 0.338
Y3 Y 0.667 0.091 0.333
Y4 Y 0.004 0.250 0.007
Y5 Y 0.996 0.750 0.993
Y6 Y 0.331 0.423 0.662
Bi1 Bi 0.500 0.000 0.000
Te1 Te 0.500 0.500 0.000
Te2 Te 0.835 0.167 0.670
Te3 Te 0.165 0.833 0.330
Pb1 Pb 0.833 0.667 0.666
Pb2 Pb 0.167 0.333 0.334
```

Calculated values
magnetic moment	0.000	Bohr magnetons per cell
SG	C2/m
DOS(E_F)	0.173	states/eV/atom
formation energy from raw total energies	-1.0328	eV per atom

---

[10]
Material: NdDy3Tm2
Method: DFT, PBE
State: relaxed

The structure in CIF format:
```
data_NdDy3Tm2
_cell_length_a 7.092
_cell_length_b 6.137
_cell_length_c 9.383
_cell_angle_alpha 89.85
_cell_angle_beta 112.20
_cell_angle_gamma 90.00
_symmetry_space_group_name_H-M 'P 1'
_symmetry_Int_Tables_number 1
_symmetry_space_group_name_Hall 'P 1'
loop_
_atom_site_label
_atom_site_type_symbol
_atom_site_fract_x
_atom_site_fract_y
_atom_site_fract_z
Nd1 Nd 0.874 0.750 0.000
Nd2 Nd 0.126 0.250 0.000
Dy1 Dy 0.624 0.250 0.000
Dy2 Dy 0.376 0.750 0.000
Dy3 Dy 0.043 0.085 0.337
Dy4 Dy 0.706 0.415 0.663
Dy5 Dy 0.294 0.585 0.337
Dy6 Dy 0.957 0.915 0.663
Tm1 Tm 0.792 0.583 0.335
Tm2 Tm 0.543 0.083 0.335
Tm3 Tm 0.457 0.917 0.665
Tm4 Tm 0.208 0.417 0.665
```

Calculated values
magnetic moment	0.000	Bohr magnetons per cell
SG	C2/c
DOS(E_F)	1.386	states/eV/atom
energy of formation from the pure elements	0.0210	eV per atom